MgMn2W (SCAN, PBEsol geometry); DOS at the Fermi energy = 1.112 states/eV per atom; crystal system = trigonal; VASP energy = -1.0079 Ha/atom
1.0
2.6939 0.0000 0.0000
1.3469 2.3330 0.0000
1.3469 0.7777 8.7634
Mg Mn W
1 2 1
Direct
0.2560 0.2560 0.2319
0.0098 0.0098 0.9707
0.7422 0.7422 0.7733
0.4920 0.4920 0.5241